No. 1
6
Lattice="3.2793 0.0000 0.0000 0.0000 3.9092 0.0000 0.0000 0.0000 8.3037" Properties=species:S:1:pos:R:3 comment="GGA-PBE ScOsSe, optimized geometry" space_group="No. 44" crystal_system=orthorhombic raw_formation_energy_kj_per_mol_fu=-24 magnetic_moment_mub_per_fu=0.00 pbc="T T T"
Sc 0.0000 0.0000 0.0000
Sc 1.6396 1.9546 4.1518
Os 0.0000 0.0000 3.0461
Os 1.6396 1.9546 7.1979
Se 0.0000 0.0000 5.5304
Se 1.6396 1.9546 1.3786

No. 2
8
Lattice="3.6918 0.0000 0.0000 0.0000 4.2108 0.0000 0.0000 0.0000 12.6005" Properties=species:S:1:pos:R:3 comment="GGA-PBE ScOsSe2, optimized geometry" space_group="No. 71" crystal_system=orthorhombic raw_formation_energy_kj_per_mol_fu=-227 magnetic_moment_mub_per_fu=0.00 pbc="T T T"
Sc 0.0000 0.0000 0.0000
Sc 1.8459 2.1054 6.3003
Os 0.0000 0.0000 6.3003
Os 1.8459 2.1054 0.0000
Se 0.0000 2.1054 1.7390
Se 0.0000 2.1054 10.8615
Se 1.8459 0.0000 4.5612
Se 1.8459 0.0000 8.0393

No. 3
16
Lattice="4.9639 0.0000 0.0000 0.0000 4.9639 0.0000 0.0000 0.0000 14.4248" Properties=species:S:1:pos:R:3 comment="GGA-PBE ScOsSe2, optimized geometry" space_group="No. 122" crystal_system=tetragonal raw_formation_energy_kj_per_mol_fu=-105 magnetic_moment_mub_per_fu=0.00 pbc="T T T"
Sc 0.0000 0.0000 0.0000
Sc 0.0000 2.4820 3.6062
Sc 2.4820 0.0000 10.8186
Sc 2.4820 2.4820 7.2124
Os 0.0000 0.0000 7.2124
Os 0.0000 2.4820 10.8186
Os 2.4820 0.0000 3.6062
Os 2.4820 2.4820 0.0000
Se 1.0678 1.2410 9.0155
Se 1.2410 3.5497 12.6217
Se 1.2410 3.8961 5.4093
Se 1.4142 1.2410 1.8031
Se 3.5497 3.7229 1.8031
Se 3.7229 1.0678 5.4093
Se 3.7229 1.4142 12.6217
Se 3.8961 3.7229 9.0155

No. 4
12
Lattice="3.3217 0.0000 0.0000 0.0000 4.6950 0.0000 0.0000 0.0000 14.6953" Properties=species:S:1:pos:R:3 comment="GGA-PBE ScOsSe, optimized geometry" space_group="No. 42" crystal_system=orthorhombic raw_formation_energy_kj_per_mol_fu=30 magnetic_moment_mub_per_fu=0.00 pbc="T T T"
Sc 0.0000 0.0000 0.0000
Sc 0.0000 2.3475 7.3476
Sc 1.6608 0.0000 7.3476
Sc 1.6608 2.3475 0.0000
Os 0.0000 0.0000 9.3437
Os 0.0000 2.3475 1.9960
Os 1.6608 0.0000 1.9960
Os 1.6608 2.3475 9.3437
Se 0.0000 0.0000 5.2043
Se 0.0000 2.3475 12.5520
Se 1.6608 0.0000 12.5520
Se 1.6608 2.3475 5.2043

No. 5
8
Lattice="4.0004 0.0000 0.0000 0.0000 5.3180 0.0000 0.0000 0.0000 6.6969" Properties=species:S:1:pos:R:3 comment="GGA-PBE ScOsSe2, optimized geometry" space_group="No. 65" crystal_system=orthorhombic raw_formation_energy_kj_per_mol_fu=-28 magnetic_moment_mub_per_fu=0.00 pbc="T T T"
Sc 0.0000 0.0000 0.0000
Sc 2.0002 2.6590 0.0000
Os 0.0000 0.0000 3.3484
Os 2.0002 2.6590 3.3484
Se 0.0000 2.6590 1.7706
Se 0.0000 2.6590 4.9262
Se 2.0002 0.0000 1.7706
Se 2.0002 0.0000 4.9262

No. 6
16
Lattice="6.4877 0.0000 0.0000 0.0000 6.4877 0.0000 0.0000 0.0000 6.4877" Properties=species:S:1:pos:R:3 comment="GGA-PBE ScOsSe2, optimized geometry" space_group="No. 225" crystal_system=cubic raw_formation_energy_kj_per_mol_fu=-81 magnetic_moment_mub_per_fu=0.00 pbc="T T T"
Sc 0.0000 0.0000 0.0000
Sc 0.0000 3.2439 3.2439
Sc 3.2439 0.0000 3.2439
Sc 3.2439 3.2439 0.0000
Os 0.0000 0.0000 3.2439
Os 0.0000 3.2439 0.0000
Os 3.2439 0.0000 0.0000
Os 3.2439 3.2439 3.2439
Se 1.6219 1.6219 1.6219
Se 1.6219 1.6219 4.8658
Se 1.6219 4.8658 1.6219
Se 1.6219 4.8658 4.8658
Se 4.8658 1.6219 1.6219
Se 4.8658 1.6219 4.8658
Se 4.8658 4.8658 1.6219
Se 4.8658 4.8658 4.8658

No. 7
12
Lattice="3.7564 0.0000 0.0000 -1.8782 3.2531 0.0000 0.0000 0.0000 23.2717" Properties=species:S:1:pos:R:3 comment="GGA-PBE ScOsSe2, optimized geometry" space_group="No. 160" crystal_system=trigonal raw_formation_energy_kj_per_mol_fu=-147 magnetic_moment_mub_per_fu=0.00 pbc="T T T"
Sc 0.0000 0.0000 0.0000
Sc 0.0000 2.1687 15.5145
Sc 1.8782 1.0844 7.7572
Os 0.0000 0.0000 17.7341
Os 0.0000 2.1687 9.9768
Os 1.8782 1.0844 2.2196
Se 0.0000 0.0000 6.3045
Se 0.0000 0.0000 10.9121
Se 0.0000 2.1687 3.1549
Se 0.0000 2.1687 21.8190
Se 1.8782 1.0844 14.0618
Se 1.8782 1.0844 18.6693

No. 8
12
Lattice="6.2041 0.0000 0.0000 0.0000 6.2041 0.0000 0.0000 0.0000 6.2041" Properties=species:S:1:pos:R:3 comment="GGA-PBE ScOsSe, optimized geometry" space_group="No. 216" crystal_system=cubic raw_formation_energy_kj_per_mol_fu=76 magnetic_moment_mub_per_fu=0.00 pbc="T T T"
Sc 0.0000 0.0000 0.0000
Sc 0.0000 3.1020 3.1020
Sc 3.1020 0.0000 3.1020
Sc 3.1020 3.1020 0.0000
Os 1.5510 1.5510 4.6531
Os 1.5510 4.6531 1.5510
Os 4.6531 1.5510 1.5510
Os 4.6531 4.6531 4.6531
Se 1.5510 1.5510 1.5510
Se 1.5510 4.6531 4.6531
Se 4.6531 1.5510 4.6531
Se 4.6531 4.6531 1.5510

No. 9
4
Lattice="4.5426 0.0000 0.0000 0.0000 4.5426 0.0000 0.0000 0.0000 3.2261" Properties=species:S:1:pos:R:3 comment="GGA-PBE ScOsSe2, optimized geometry" space_group="No. 123" crystal_system=tetragonal raw_formation_energy_kj_per_mol_fu=-148 magnetic_moment_mub_per_fu=0.00 pbc="T T T"
Sc 0.0000 0.0000 0.0000
Os 2.2713 2.2713 0.0000
Se 0.0000 2.2713 1.6130
Se 2.2713 0.0000 1.6130

No. 10
5
Lattice="4.8931 0.0000 0.0000 0.0000 4.8931 0.0000 0.0000 0.0000 4.8931" Properties=species:S:1:pos:R:3 comment="GGA-PBE ScOsSe3, optimized geometry" space_group="No. 221" crystal_system=cubic raw_formation_energy_kj_per_mol_fu=97 magnetic_moment_mub_per_fu=1.25 pbc="T T T"
Sc 0.0000 0.0000 0.0000
Os 2.4466 2.4466 2.4466
Se 0.0000 2.4466 2.4466
Se 2.4466 0.0000 2.4466
Se 2.4466 2.4466 0.0000

No. 11
14
Lattice="3.9471 0.0000 0.0000 0.0000 13.9368 0.0000 0.0000 0.0000 3.9308" Properties=species:S:1:pos:R:3 comment="GGA-PBE ScSi2Os4, optimized geometry" space_group="No. 65" crystal_system=orthorhombic raw_formation_energy_kj_per_mol_fu=-283 magnetic_moment_mub_per_fu=0.00 pbc="T T T"
Sc 0.0000 0.0000 0.0000
Sc 1.9735 6.9684 0.0000
Si 0.0000 5.8278 1.9654
Si 0.0000 8.1089 1.9654
Si 1.9735 1.1405 1.9654
Si 1.9735 12.7962 1.9654
Os 0.0000 2.5733 1.9654
Os 0.0000 4.3474 0.0000
Os 0.0000 9.5893 0.0000
Os 0.0000 11.3635 1.9654
Os 1.9735 2.6209 0.0000
Os 1.9735 4.3951 1.9654
Os 1.9735 9.5416 1.9654
Os 1.9735 11.3158 0.0000

No. 12
6
Lattice="0.0000 3.8372 3.8372 3.8372 0.0000 3.8372 3.8372 3.8372 0.0000" Properties=species:S:1:pos:R:3 comment="GGA-PBE Sc4SiOs, optimized geometry" space_group="No. 216" crystal_system=cubic raw_formation_energy_kj_per_mol_fu=271 magnetic_moment_mub_per_fu=0.00 pbc="T T T"
Sc 2.8908 2.8908 2.8908
Sc 4.7836 4.7836 2.8908
Sc 4.7836 2.8908 4.7836
Sc 2.8908 4.7836 4.7836
Si 0.0000 0.0000 0.0000
Os 5.7558 5.7558 5.7558